Pm3NdAu4: relaxed, GGA-PBE.

As for the electronic total energy: -4.641 eV/atom. The energy above the most stable polymorph in this dataset comes out at 1.18 eV/f.u. The value obtained for the formation energy is -0.62 eV/atom.

The structure belongs to space group Immm (No. 71); the cell edges are 3.847, 7.191 and 16.077 Å and the angles 90.00°, 90.00° and 90.00°. The inequivalent atoms are Pm at (0.000, 0.000, 0.000), Pm at (0.000, 0.500, 0.205), Nd at (0.000, 0.000, 0.500) and Au at (0.000, 0.299, 0.370).

=====

DyPaInPb: relaxed, GGA-PBE.

As for the electronic total energy: -5.192 eV/atom. The value obtained for the formation energy is -0.06 eV/atom.

The structure belongs to space group F-43m (No. 216); the cell edges are 7.607, 7.607 and 7.607 Å and the angles 90.00°, 90.00° and 90.00°. The inequivalent atoms are Dy at (0.000, 0.000, 0.000), Pa at (0.000, 0.000, 0.500), In at (0.250, 0.250, 0.750) and Pb at (0.250, 0.250, 0.250).

=====

ZrGaIr: relaxed, GGA-PBE.

As for the electronic total energy: -7.400 eV/atom. The value obtained for the formation energy is -0.59 eV/atom.

The structure belongs to space group F-43m (No. 216); the cell edges are 6.221, 6.221 and 6.221 Å and the angles 90.00°, 90.00° and 90.00°. The inequivalent atoms are Zr at (0.000, 0.000, 0.000), Ga at (0.000, 0.000, 0.500) and Ir at (0.250, 0.250, 0.750).

=====

Ag3SeCl: relaxed, GGA-PBE.

As for the electronic total energy: -2.452 eV/atom. The energy above the most stable polymorph in this dataset comes out at 2.71 eV/f.u. For the formation energy (no corrections), the calculation gives 325 meV/atom.

The structure belongs to space group Pm-3m (No. 221); the cell edges are 4.964, 4.964 and 4.964 Å and the angles 90.00°, 90.00° and 90.00°. The inequivalent atoms are Ag at (0.000, 0.000, 0.500), Se at (0.500, 0.500, 0.500) and Cl at (0.000, 0.000, 0.000).

=====

MnInW: relaxed, GGA-PBE.

As for the electronic total energy: -7.842 eV/atom. The energy above the most stable polymorph in this dataset comes out at 0.37 eV/f.u. The value obtained for the formation energy is 0.45 eV/atom.

The structure belongs to space group P3m1 (No. 156); the cell edges are 4.4547, 4.4547 and 2.8271 Å and the angles 90.00°, 90.00° and 120.00°. The inequivalent atoms are Mn at (0.0000, 0.0000, 0.0000), In at (0.6667, 0.3333, 0.6820) and W at (0.3333, 0.6667, 0.2288).

=====

TcMo2Pb: relaxed, GGA-PBE.

As for the electronic total energy: -8.481 eV/atom. The value obtained for the formation energy is 0.45 eV/atom.

The structure belongs to space group Immm (No. 71); the cell edges are 3.314, 4.420 and 9.316 Å and the angles 90.00°, 90.00° and 90.00°. The inequivalent atoms are Tc at (0.000, 0.000, 0.000), Mo at (0.000, 0.500, 0.257) and Pb at (0.000, 0.000, 0.500).

=====

NbNiCl2: relaxed, GGA-PBE.

As for the electronic total energy: -4.642 eV/atom. The energy above the most stable polymorph in this dataset comes out at 0.00 eV/f.u. For the formation energy (no corrections), the calculation gives 244 meV/atom.

The structure belongs to space group I-42d (No. 122); the cell edges are 5.681, 5.681 and 9.453 Å and the angles 90.00°, 90.00° and 90.00°. The inequivalent atoms are Nb at (0.000, 0.000, 0.000), Ni at (0.000, 0.000, 0.500) and Cl at (0.215, 0.250, 0.625).

=====

Nd2TmTh3S6: relaxed, GGA-PBE.

As for the electronic total energy: -6.979 eV/atom. For the formation energy (no corrections), the calculation gives -1893 meV/atom.

The structure belongs to space group C2/m (No. 12); the cell edges are 17.624, 4.005 and 8.069 Å and the angles 90.00°, 104.69° and 90.00°. The inequivalent atoms are Nd at (0.166, 0.000, 0.333), Tm at (0.000, 0.500, 0.000), Th at (0.000, 0.500, 0.500), Th at (0.169, 0.000, 0.834), S at (0.002, 0.000, 0.765), S at (0.160, 0.500, 0.080) and S at (0.167, 0.500, 0.583).

=====

| no. | DOS(E_F) (states/eV/cell) |
| --- | --- |
| 1 | 16.2 |
| 2 | 32.9 |
| 3 | 20.7 |
| 4 | 0.3 |
| 5 | 1.9 |
| 6 | 3.5 |
| 7 | 6.8 |
| 8 | 15.8 |